Record 1
## CaCoRhBr2 (PBE-GGA)

Data for a relaxed structure of CaCoRhBr2.

Summary:
N(E_F) ... 3.64 states/eV/f.u.
Energy relative to the elements, uncorrected ... -99 meV/atom
Crystal system ... tetragonal
Space group ... P4/mmm, No. 123
Calculated total energy ... -0.298 Ry per atom

Geometry as extended XYZ:
```
5
Lattice="4.862 0.000 0.000 0.000 4.862 0.000 0.000 0.000 4.623" Properties=species:S:1:pos:R:3 pbc="T T T"
Ca 0.000 0.000 0.000
Co 2.431 2.431 2.312
Rh 2.431 2.431 0.000
Br 0.000 2.431 2.312
Br 2.431 0.000 2.312
```

Record 2
## CaCoSe2Br (PBE-GGA)

Data for a relaxed structure of CaCoSe2Br.

Summary:
N(E_F) ... 7.59 states/eV/f.u.
Energy relative to the elements, uncorrected ... 328 meV/atom
Polymorph energy (0 for the lowest one) ... 927 meV/atom
Crystal system ... tetragonal
Space group ... P4/mmm, No. 123
Calculated total energy ... -0.237 Ry per atom

Geometry as extended XYZ:
```
5
Lattice="5.495 0.000 0.000 0.000 5.495 0.000 0.000 0.000 5.435" Properties=species:S:1:pos:R:3 pbc="T T T"
Ca 0.000 0.000 0.000
Co 2.747 2.747 2.718
Se 0.000 2.747 0.000
Se 2.747 0.000 0.000
Br 0.000 0.000 2.718
```

Record 3
## CaCoSe2Br (PBE-GGA)

Data for a relaxed structure of CaCoSe2Br.

Summary:
N(E_F) ... 5.50 states/eV/f.u.
Energy relative to the elements, uncorrected ... -599 meV/atom
Polymorph energy (0 for the lowest one) ... 0 meV/atom
Crystal system ... tetragonal
Space group ... P4/mmm, No. 123
Calculated total energy ... -0.305 Ry per atom

Geometry as extended XYZ:
```
5
Lattice="4.755 0.000 0.000 0.000 4.755 0.000 0.000 0.000 5.108" Properties=species:S:1:pos:R:3 pbc="T T T"
Ca 0.000 0.000 0.000
Co 2.378 2.378 2.554
Se 0.000 2.378 2.554
Se 2.378 0.000 2.554
Br 2.378 2.378 0.000
```

Record 4
## CaCrBr3 (PBE-GGA)

Data for a relaxed structure of CaCrBr3.

Summary:
N(E_F) ... 10.60 states/eV/f.u.
Energy relative to the elements, uncorrected ... -767 meV/atom
Polymorph energy (0 for the lowest one) ... 36 meV/atom
Crystal system ... cubic
Space group ... Pm-3m, No. 221
Calculated total energy ... -0.301 Ry per atom

Geometry as extended XYZ:
```
5
Lattice="5.616 0.000 0.000 0.000 5.616 0.000 0.000 0.000 5.616" Properties=species:S:1:pos:R:3 pbc="T T T"
Ca 0.000 0.000 0.000
Cr 2.808 2.808 2.808
Br 0.000 0.000 2.808
Br 0.000 2.808 0.000
Br 2.808 0.000 0.000
```

Record 5
## Ca3CrBr (PBE-GGA)

Data for a relaxed structure of Ca3CrBr.

Summary:
N(E_F) ... 7.03 states/eV/f.u.
Energy relative to the elements, uncorrected ... 472 meV/atom
Polymorph energy (0 for the lowest one) ... 0 meV/atom
Crystal system ... cubic
Space group ... Pm-3m, No. 221
Calculated total energy ... -0.220 Ry per atom

Geometry as extended XYZ:
```
5
Lattice="5.441 0.000 0.000 0.000 5.441 0.000 0.000 0.000 5.441" Properties=species:S:1:pos:R:3 pbc="T T T"
Ca 0.000 0.000 2.721
Ca 0.000 2.721 0.000
Ca 2.721 0.000 0.000
Cr 0.000 0.000 0.000
Br 2.721 2.721 2.721
```

Record 6
## Ca2CrBr (PBE-GGA)

Data for a relaxed structure of Ca2CrBr.

Summary:
N(E_F) ... 1.52 states/eV/f.u.
Energy relative to the elements, uncorrected ... -83 meV/atom
Polymorph energy (0 for the lowest one) ... 201 meV/atom
Crystal system ... orthorhombic
Space group ... Immm, No. 71
Calculated total energy ... -0.287 Ry per atom

Geometry as extended XYZ:
```
4
Lattice="-2.002 3.202 4.951 2.002 -3.202 4.951 2.002 3.202 -4.951" Properties=species:S:1:pos:R:3 pbc="T T T"
Ca 0.000 0.000 2.189
Ca 0.000 0.000 7.714
Cr 0.000 3.202 0.000
Br 2.002 0.000 0.000
```

Record 7
## Ca2CrBr (PBE-GGA)

Data for a relaxed structure of Ca2CrBr.

Summary:
N(E_F) ... 3.89 states/eV/f.u.
Energy relative to the elements, uncorrected ... -129 meV/atom
Polymorph energy (0 for the lowest one) ... 156 meV/atom
Crystal system ... orthorhombic
Space group ... Pmmm, No. 47
Calculated total energy ... -0.291 Ry per atom

Geometry as extended XYZ:
```
4
Lattice="3.844 0.000 0.000 0.000 5.011 0.000 0.000 0.000 6.342" Properties=species:S:1:pos:R:3 pbc="T T T"
Ca 0.000 0.000 0.000
Ca 1.922 2.506 3.171
Cr 0.000 0.000 3.171
Br 1.922 2.506 0.000
```

Record 8
## CaCr2Br (PBE-GGA)

Data for a relaxed structure of CaCr2Br.

Summary:
N(E_F) ... 2.30 states/eV/f.u.
Energy relative to the elements, uncorrected ... 420 meV/atom
Polymorph energy (0 for the lowest one) ... 413 meV/atom
Crystal system ... tetragonal
Space group ... I4/mmm, No. 139
Calculated total energy ... -0.390 Ry per atom

Geometry as extended XYZ:
```
4
Lattice="-2.067 2.067 5.831 2.067 -2.067 5.831 2.067 2.067 -5.831" Properties=species:S:1:pos:R:3 pbc="T T T"
Ca 0.000 0.000 0.000
Cr 2.067 0.000 2.916
Cr 0.000 2.067 2.916
Br 0.000 0.000 5.831
```